DFT (GGA-PBE) results for a geometry-optimized K2BeSb structure.

Raw formation energy ... 180 kJ/mol of formula units
Magnetization ... 0.0 μB/cell
Polymorph energy (0 for the lowest one) ... 0.482 eV per atom
Fermi-level density of states ... 0.866 states/eV/atom

Cell lengths 5.724, 5.724, 5.724 Å; angles 60.00, 60.00, 60.00 degrees
Atoms (fractional coordinates):
1 K 0.250 0.250 0.250
2 K 0.750 0.750 0.750
3 Be 0.000 0.000 0.000
4 Sb 0.500 0.500 0.500